# 1
YSiIr2 | Alexandria via LeMat-Bulk | GGA-PBE | optimized geometry; DFT total energy = -32.283 eV per cell; ΔE_f (raw) = -0.668 eV/atom; SG = C2/m
1.0
3.570 -2.056 0.000
3.570 2.056 0.000
-2.356 0.000 5.087
Y Si Ir
1 1 2
Cartesian
0.000 0.000 0.000 Y
2.392 0.000 2.543 Si
0.013 0.000 3.200 Ir
4.772 0.000 1.887 Ir

---

# 2
Li8CdHg3 | Alexandria via LeMat-Bulk | GGA-PBE | optimized geometry; E_form = -0.291 eV/atom; DFT total energy = -20.627 eV per cell; SG = Cm
1.0
4.127 -4.226 0.000
4.127 4.226 0.000
-2.037 0.000 6.171
Li Cd Hg
8 1 3
Cartesian
0.000 0.000 0.000 Li
2.072 2.103 0.059 Li
0.098 0.000 4.117 Li
4.145 2.110 2.186 Li
2.072 -2.103 0.059 Li
4.141 0.000 0.028 Li
4.079 0.000 4.113 Li
4.145 -2.110 2.186 Li
6.217 0.000 2.052 Cd
2.089 2.139 4.298 Hg
2.072 0.000 1.932 Hg
2.089 -2.139 4.298 Hg

---

> Number 1 is which compound?

YSiIr2